DFT (PBE-GGA) results for crystalline K2CuBiBr6 at its relaxed geometry.

- ΔE to the lowest computed polymorph (kJ/mol of atoms) = 3.1
- calculated volume (Å³/atom) = 33.6
- uncorrected formation energy (eV/atom) = -1.00

Unit cell a=11.0363 b=11.0363 c=11.0363 alpha=90.00 beta=90.00 gamma=90.00
Space group Fm-3m (No. 225)
Unique sites:
K  0.2500  0.2500  0.2500 [8 per cell]
Cu  0.0000  0.0000  0.0000 [4 per cell]
Bi  0.0000  0.0000  0.5000 [4 per cell]
Br  0.0000  0.0000  0.2393 [24 per cell]